Record 1
Compound: MnNi2Pt
Source: the Alexandria database
Functional: meta-GGA SCAN
Structure: single point on PBEsol structure

Calculated values
electronic total energy: -30.530 eV per atom
ΔH_f (0 K): -32 kJ per mole of atoms
theoretical density: 12.776 g/cm³
magnetic moment: 2.99 μB/f.u.

Lattice parameters (Å, degrees): 3.632 3.632 4.438 114.16 114.16 90.00
Fractional coordinates of all 4 atoms:
Ni: 0.000 0.000 0.000
Ni: 0.750 0.250 0.500
Mn: 0.250 0.750 0.500
Pt: 0.500 0.500 0.000


Record 2
Compound: Pr3Hf
Source: the Alexandria database
Functional: meta-GGA SCAN
Structure: single point on PBEsol structure

Calculated values
electronic total energy: -47.949 eV per atom
ΔH_f (0 K): 21 kJ per mole of atoms
theoretical density: 8.405 g/cm³
magnetic moment: 0.00 μB/f.u.

Lattice parameters (Å, degrees): 4.916 4.916 6.019 114.10 114.10 90.00
Fractional coordinates of all 4 atoms:
Pr: 0.250 0.750 0.500
Pr: 0.750 0.250 0.500
Pr: 0.500 0.500 0.000
Hf: 0.000 0.000 0.000


Record 3
Compound: TaGa2FeOs
Source: the Alexandria database
Functional: meta-GGA SCAN
Structure: single point on PBEsol structure

Calculated values
electronic total energy: -35.988 eV per atom
ΔH_f (0 K): 180 kJ per mole of atoms
theoretical density: 9.722 g/cm³
magnetic moment: 2.18 μB/f.u.

Lattice parameters (Å, degrees): 4.250 4.771 4.771 90.00 90.00 90.00
Fractional coordinates of all 5 atoms:
Os: 0.500 0.500 0.500
Fe: 0.500 0.000 0.000
Ga: 0.000 0.000 0.500
Ga: 0.000 0.500 0.000
Ta: 0.000 0.000 0.000


Record 4
Compound: Li2PbC
Source: the Alexandria database
Functional: meta-GGA SCAN
Structure: single point on PBEsol structure

Calculated values
electronic total energy: -21.832 eV per atom
ΔH_f (0 K): 80 kJ per mole of atoms
theoretical density: 6.559 g/cm³
magnetic moment: 0.00 μB/f.u.

Lattice parameters (Å, degrees): 3.722 3.722 8.915 102.05 102.05 90.00
Fractional coordinates of all 8 atoms:
Pb: 0.250 0.750 0.500
Pb: 0.000 0.000 0.000
C: 0.750 0.250 0.500
C: 0.500 0.500 0.000
Li: 0.448 0.875 0.250
Li: 0.802 0.375 0.250
Li: 0.125 0.198 0.750
Li: 0.625 0.552 0.750


Record 5
Compound: Be2IrPb
Source: the Alexandria database
Functional: meta-GGA SCAN
Structure: single point on PBEsol structure

Calculated values
electronic total energy: -39.055 eV per atom
ΔH_f (0 K): -15 kJ per mole of atoms
theoretical density: 11.589 g/cm³
magnetic moment: 0.00 μB/f.u.

Lattice parameters (Å, degrees): 2.950 2.946 6.984 99.72 90.00 90.00
Fractional coordinates of all 4 atoms:
Pb: 0.500 0.500 0.000
Be: 0.000 0.067 0.661
Be: 0.000 0.933 0.339
Ir: 0.500 0.500 0.500


Record 6
Compound: LaYMg6
Source: the Alexandria database
Functional: meta-GGA SCAN
Structure: single point on PBEsol structure

Calculated values
electronic total energy: -12.697 eV per atom
ΔH_f (0 K): -9 kJ per mole of atoms
theoretical density: 3.046 g/cm³
magnetic moment: 0.41 μB/f.u.

Lattice parameters (Å, degrees): 5.196 6.732 6.732 120.11 90.00 90.00
Fractional coordinates of all 8 atoms:
Y: 0.000 0.083 0.917
Mg: 0.000 0.072 0.411
Mg: 0.000 0.589 0.928
Mg: 0.000 0.589 0.411
Mg: 0.500 0.421 0.085
Mg: 0.500 0.915 0.579
Mg: 0.500 0.914 0.086
La: 0.500 0.417 0.583


Record 7
Compound: SrGaPdC2
Source: the Alexandria database
Functional: meta-GGA SCAN
Structure: single point on PBEsol structure

Calculated values
electronic total energy: -16.941 eV per atom
ΔH_f (0 K): 133 kJ per mole of atoms
theoretical density: 5.715 g/cm³
magnetic moment: 0.99 μB/f.u.

Lattice parameters (Å, degrees): 4.211 4.211 4.716 90.00 90.00 90.00
Fractional coordinates of all 5 atoms:
Sr: 0.500 0.500 0.500
C: 0.000 0.500 0.000
C: 0.500 0.000 0.000
Ga: 0.000 0.000 0.500
Pd: 0.000 0.000 0.000


Record 8
Compound: BeAs2Ru
Source: the Alexandria database
Functional: meta-GGA SCAN
Structure: single point on PBEsol structure

Calculated values
electronic total energy: -19.830 eV per atom
ΔH_f (0 K): 6 kJ per mole of atoms
theoretical density: 5.805 g/cm³
magnetic moment: 0.00 μB/f.u.

Lattice parameters (Å, degrees): 5.212 5.212 6.599 113.26 113.26 90.00
Fractional coordinates of all 8 atoms:
Ru: 0.250 0.750 0.500
Ru: 0.000 0.000 0.000
As: 0.392 0.875 0.250
As: 0.858 0.375 0.250
As: 0.125 0.142 0.750
As: 0.625 0.608 0.750
Be: 0.750 0.250 0.500
Be: 0.500 0.500 0.000


Record 9
Compound: Hf2TlTe
Source: the Alexandria database
Functional: meta-GGA SCAN
Structure: single point on PBEsol structure

Calculated values
electronic total energy: -58.790 eV per atom
formation energy without anion corrections: -0.051 eV/atom
theoretical density: 13.286 g/cm³
magnetic moment: 0.00 μB/f.u.

Lattice parameters (Å, degrees): 4.957 4.957 4.957 60.00 60.00 60.00
Fractional coordinates of all 4 atoms:
Tl: 0.500 0.500 0.500
Te: 0.000 0.000 0.000
Hf: 0.250 0.250 0.250
Hf: 0.750 0.750 0.750


Record 10
Compound: BaTlMo3
Source: the Alexandria database
Functional: meta-GGA SCAN
Structure: single point on PBEsol structure

Calculated values
electronic total energy: -40.196 eV per atom
ΔH_f (0 K): 301 kJ per mole of atoms
theoretical density: 8.606 g/cm³
magnetic moment: 4.78 μB/f.u.

Lattice parameters (Å, degrees): 4.952 4.952 4.952 90.00 90.00 90.00
Fractional coordinates of all 5 atoms:
Mo: 0.000 0.500 0.000
Mo: 0.000 0.000 0.500
Mo: 0.500 0.000 0.000
Tl: 0.500 0.500 0.500
Ba: 0.000 0.000 0.000


Record 11
Compound: BaSrZrNb2
Source: the Alexandria database
Functional: meta-GGA SCAN
Structure: single point on PBEsol structure

Calculated values
electronic total energy: -29.867 eV per atom
ΔH_f (0 K): 182 kJ per mole of atoms
theoretical density: 5.847 g/cm³
magnetic moment: 0.00 μB/f.u.

Lattice parameters (Å, degrees): 5.180 5.180 5.312 90.00 90.00 90.00
Fractional coordinates of all 5 atoms:
Sr: 0.500 0.500 0.500
Nb: 0.000 0.500 0.000
Nb: 0.500 0.000 0.000
Ba: 0.000 0.000 0.000
Zr: 0.000 0.000 0.500


Record 12
Compound: KBeSi2
Source: the Alexandria database
Functional: meta-GGA SCAN
Structure: single point on PBEsol structure

Calculated values
electronic total energy: -7.555 eV per atom
formation energy without anion corrections: 0.623 eV/atom
theoretical density: 2.602 g/cm³
magnetic moment: 0.00 μB/f.u.

Lattice parameters (Å, degrees): 2.898 2.898 9.304 81.04 81.04 60.00
Fractional coordinates of all 4 atoms:
Be: 0.500 0.500 0.500
K: 0.000 0.000 0.000
Si: 0.232 0.232 0.305
Si: 0.768 0.768 0.695